[1]
Here is crystalline Cd3PbAu at its relaxed geometry from Alexandria. Energies are from PBE.

E above lowest polymorph ... 0.192 eV per atom
Crystal system ... cubic
Symmetry ... Pm-3m (221)

Unit cell a=5.2719 b=5.2719 c=5.2719 alpha=90.00 beta=90.00 gamma=90.00
Fractional positions:
Pb: 0.5000 0.5000 0.5000
Cd: 0.0000 0.0000 0.5000
Cd: 0.5000 0.0000 0.0000
Cd: 0.0000 0.5000 0.0000
Au: 0.0000 0.0000 0.0000



[2]
Here is crystalline Cd3PbAu6 at its relaxed geometry from Alexandria. Energies are from PBE.

E ... -54.3 eV per cell
Crystal system ... orthorhombic
Symmetry ... Cmc2_1 (36)

Unit cell a=7.3176 b=7.9884 c=7.3176 alpha=90.00 beta=96.35 gamma=90.00
Fractional positions:
Cd: 0.5254 0.6354 0.4746
Cd: 0.0396 0.5620 0.2951
Cd: 0.9604 0.0620 0.7049
Cd: 0.2951 0.0620 0.0396
Cd: 0.4746 0.1354 0.5254
Cd: 0.7049 0.5620 0.9604
Au: 0.0962 0.2202 0.4059
Au: 0.9951 0.3032 0.0049
Au: 0.4059 0.7202 0.0962
Au: 0.7975 0.3851 0.6411
Au: 0.2737 0.8081 0.7263
Au: 0.6411 0.8851 0.7975
Au: 0.9038 0.7202 0.5941
Au: 0.7263 0.3081 0.2737
Au: 0.3589 0.3851 0.2025
Au: 0.5941 0.2202 0.9038
Au: 0.2025 0.8851 0.3589
Au: 0.0049 0.8032 0.9951
Pb: 0.7536 0.9333 0.2464
Pb: 0.2464 0.4333 0.7536



[3]
Here is crystalline CdPb4Au at its relaxed geometry from Alexandria. Energies are from PBE.

E above lowest polymorph ... 0.000 eV per atom
Crystal system ... tetragonal
Symmetry ... P4/mmm (123)

Unit cell a=3.5599 b=3.5599 c=13.1315 alpha=90.00 beta=90.00 gamma=90.01
Fractional positions:
Pb: 0.9999 0.9999 0.6396
Pb: 0.4998 0.4998 0.8387
Pb: 0.5002 0.5002 0.1613
Pb: 0.0001 0.0001 0.3604
Cd: 0.0000 0.0000 0.0000
Au: 0.5000 0.5000 0.5000



[4]
Here is crystalline CdPb4Au5 at its relaxed geometry from Alexandria. Energies are from PBE.

E ... -32.7 eV per cell
Crystal system ... tetragonal
Symmetry ... I4 (79)

Unit cell a=6.0022 b=7.0643 c=7.0643 alpha=79.60 beta=64.86 gamma=64.86
Fractional positions:
Au: 0.3029 0.6526 0.8393
Au: 0.7948 0.3474 0.1607
Au: 0.9555 0.8393 0.3474
Au: 0.1422 0.1607 0.6526
Au: 0.3235 0.0000 0.0000
Pb: 0.6158 0.2374 0.6153
Pb: 0.4685 0.7626 0.3847
Pb: 0.2311 0.3847 0.2374
Pb: 0.8532 0.6153 0.7626
Cd: 0.8025 0.0000 0.0000



[5]
Here is crystalline Cd5PbAu3 at its relaxed geometry from Alexandria. Energies are from PBE.

E ... -37.8 eV per cell
Crystal system ... orthorhombic
Symmetry ... Cmcm (63)

Unit cell a=3.5493 b=7.9303 c=14.9745 alpha=90.00 beta=90.00 gamma=102.93
Fractional positions:
Cd: 0.0000 0.0000 0.0000
Cd: 0.5482 0.0964 0.8462
Cd: 0.5482 0.0964 0.6538
Cd: 0.4518 0.9036 0.1538
Cd: 0.8059 0.6118 0.0610
Cd: 0.1941 0.3882 0.9390
Cd: 0.4518 0.9036 0.3462
Cd: 0.1941 0.3882 0.5610
Cd: 0.0000 0.0000 0.5000
Cd: 0.8059 0.6118 0.4390
Au: 0.6241 0.2482 0.0845
Au: 0.3759 0.7518 0.5845
Au: 0.1653 0.3306 0.7500
Au: 0.3759 0.7518 0.9155
Au: 0.6241 0.2482 0.4155
Au: 0.8347 0.6694 0.2500
Pb: 0.8311 0.6622 0.7500
Pb: 0.1689 0.3378 0.2500



[6]
Here is crystalline Cd3Pb2Au4 at its relaxed geometry from Alexandria. Energies are from PBE.

E ... -48.8 eV per cell
Crystal system ... monoclinic
Symmetry ... P2_1/c (14)

Unit cell a=7.4134 b=7.7172 c=7.6335 alpha=90.00 beta=90.00 gamma=110.18
Fractional positions:
Cd: 0.5000 0.5000 0.0000
Cd: 0.7529 0.7497 0.3285
Cd: 0.2471 0.2503 0.6715
Cd: 0.7471 0.2503 0.8285
Cd: 0.2529 0.7497 0.1715
Cd: 0.0000 0.5000 0.5000
Pb: 0.4495 0.8179 0.6615
Pb: 0.5505 0.1821 0.3385
Pb: 0.0505 0.1821 0.1615
Pb: 0.9495 0.8179 0.8385
Au: 0.3579 0.0871 0.9684
Au: 0.6373 0.5178 0.6397
Au: 0.1421 0.9129 0.4684
Au: 0.8579 0.0871 0.5316
Au: 0.1373 0.5178 0.8603
Au: 0.3627 0.4822 0.3603
Au: 0.6421 0.9129 0.0316
Au: 0.8627 0.4822 0.1397